YNp2F11: relaxed, PBE.

Output
Final energy = -7.4210 eV per atom
ΔE_f (raw) = -3.64 eV per atom
Symmetry = Ibam (72)

Cell and atoms, written as extended XYZ:
```
28
Lattice="-4.215 5.162 5.515 4.215 -5.162 5.515 4.215 5.162 -5.515" Properties=species:S:1:pos:R:3 pbc="T T T"
Y 0.000 0.000 2.758
Y 0.000 0.000 8.273
Np 5.502 1.875 0.000
Np 1.287 3.287 0.000
Np 2.927 1.875 5.515
Np -1.287 3.287 5.515
F 4.215 0.000 0.000
F 4.974 -3.341 3.948
F 1.817 -0.718 1.513
F 4.974 3.341 -1.568
F 6.612 0.718 1.513
F 3.142 2.206 0.000
F 3.142 -2.206 5.515
F 2.397 4.444 -1.513
F 0.759 1.821 1.568
F 1.817 0.718 4.003
F 4.974 3.341 1.568
F 0.000 5.162 0.000
F -0.759 1.821 3.948
F 2.397 4.444 1.513
F 3.455 3.341 3.948
F 1.817 0.718 7.028
F 1.072 7.368 0.000
F 1.072 2.956 5.515
F -2.397 4.444 4.003
F -0.759 1.821 7.083
F 2.397 5.880 4.003
F -0.759 8.503 1.568
```